No. 1
VASP calculation (GGA-PBE) on an optimized crystal structure of BaN2Cl3.

abc: 8.906 8.906 5.517
angles: 90.04 90.04 58.44
Element x y z (fractional)
Ba (0.247, 0.753, 0.750)
Ba (0.753, 0.247, 0.250)
N (0.172, 0.439, 0.752)
N (0.439, 0.172, 0.252)
N (0.561, 0.828, 0.748)
N (0.828, 0.561, 0.248)
Cl (0.128, 0.128, 0.000)
Cl (0.128, 0.128, 0.500)
Cl (0.384, 0.616, 0.250)
Cl (0.616, 0.384, 0.750)
Cl (0.872, 0.872, 0.000)
Cl (0.872, 0.872, 0.500)

Output
Formation energy from raw total energies ... 555 meV per atom
Volume ... 31.07 Å³ per atom
VASP energy ... -3.463 eV/atom
Density of states at the Fermi level ... 2.8 states/eV/cell
Density ... 2.42 g/cm³
Size of the total moment ... 6.23 μB per formula unit
Space-group type ... C2/c, No. 15

---

No. 2
VASP calculation (GGA-PBE) on an optimized crystal structure of ZrReCl.

abc: 4.423 4.423 3.043
angles: 90.00 90.00 120.00
Element x y z (fractional)
Zr (0.000, 0.000, 0.000)
Re (0.667, 0.333, 0.444)
Cl (0.333, 0.667, 0.441)

Output
Formation energy from raw total energies ... 264 meV per atom
Volume ... 17.19 Å³ per atom
VASP energy ... -7.350 eV/atom
Density of states at the Fermi level ... 3.2 states/eV/cell
Density ... 10.08 g/cm³
Size of the total moment ... 0.00 μB per formula unit
Space-group type ... P3m1, No. 156

---

No. 3
VASP calculation (GGA-PBE) on an optimized crystal structure of Sc2Tl2Si.

abc: 7.109 7.109 4.725
angles: 90.00 90.00 90.00
Element x y z (fractional)
Sc (0.163, 0.337, 0.000)
Sc (0.337, 0.837, 0.000)
Sc (0.663, 0.163, 0.000)
Sc (0.837, 0.663, 0.000)
Tl (0.154, 0.654, 0.500)
Tl (0.346, 0.154, 0.500)
Tl (0.654, 0.846, 0.500)
Tl (0.846, 0.346, 0.500)
Si (0.000, 0.000, 0.000)
Si (0.500, 0.500, 0.000)

Output
Formation energy from raw total energies ... -178 meV per atom
Volume ... 23.88 Å³ per atom
VASP energy ... -4.741 eV/atom
Density of states at the Fermi level ... 9.2 states/eV/cell
Density ... 7.33 g/cm³
Size of the total moment ... 0.00 μB per formula unit
Space-group type ... P4/mbm, No. 127